Record 1
This record from Alexandria via LeMat-Bulk describes crystalline Nb2CoHRu at its relaxed geometry. The functional is PBE-GGA.

Summary:
electronic total energy: -8.13 eV/atom
calculated density: 9.191 Mg/m³
V: 62.7 Å³/cell
ΔE to the lowest computed polymorph: 0 meV per atom
space group: P4/mmm, No. 123

a b c (Å): 4.1603 4.1603 3.6204
angles (deg): 90.00 90.00 90.00
Closest atoms and distances in Å follow each position.
Fractional coordinates of all 5 atoms:
Ru 0.5000 0.5000 0.5000  8 Nb 2.76, 4 Co 2.94
Nb 0.0000 0.5000 0.0000  2 H 2.08
Nb 0.5000 0.0000 0.0000  2 H 2.08
Co 0.0000 0.0000 0.5000  2 H 1.81
H 0.0000 0.0000 0.0000  2 Co 1.81



Record 2
This record from Alexandria via LeMat-Bulk describes crystalline Nb2CoHRu at its relaxed geometry. The functional is PBE-GGA.

Summary:
electronic total energy: -8.06 eV/atom
calculated density: 9.087 Mg/m³
V: 63.4 Å³/cell
ΔE to the lowest computed polymorph: 66 meV per atom
space group: P4/mmm, No. 123

a b c (Å): 4.1127 4.1127 3.7468
angles (deg): 90.00 90.00 90.00
Closest atoms and distances in Å follow each position.
Fractional coordinates of all 5 atoms:
Ru 0.0000 0.0000 0.5000  2 H 1.87
Nb 0.0000 0.5000 0.0000  2 H 2.06
Nb 0.5000 0.0000 0.0000  2 H 2.06
Co 0.5000 0.5000 0.5000  8 Nb 2.78, 4 Ru 2.91
H 0.0000 0.0000 0.0000  2 Ru 1.87, 4 Nb 2.06



Record 3
This record from Alexandria via LeMat-Bulk describes crystalline Nb2CoSiH at its relaxed geometry. The functional is PBE-GGA.

Summary:
electronic total energy: -7.45 eV/atom
calculated density: 7.335 Mg/m³
V: 62.0 Å³/cell
space group: P4/mmm, No. 123

a b c (Å): 4.0589 4.0589 3.7630
angles (deg): 90.00 90.00 90.00
Closest atoms and distances in Å follow each position.
Fractional coordinates of all 5 atoms:
H 0.0000 0.0000 0.0000  2 Co 1.88, 4 Nb 2.03
Nb 0.0000 0.5000 0.0000  2 H 2.03
Nb 0.5000 0.0000 0.0000  2 H 2.03
Co 0.0000 0.0000 0.5000  2 H 1.88
Si 0.5000 0.5000 0.5000  8 Nb 2.77, 4 Co 2.87



Record 4
This record from Alexandria via LeMat-Bulk describes crystalline Nb2CoSnH at its relaxed geometry. The functional is PBE-GGA.

Summary:
electronic total energy: -7.02 eV/atom
calculated density: 8.666 Mg/m³
V: 69.8 Å³/cell
space group: P4/mmm, No. 123

a b c (Å): 4.0501 4.0501 4.2576
angles (deg): 90.00 90.00 90.00
Closest atoms and distances in Å follow each position.
Fractional coordinates of all 5 atoms:
H 0.0000 0.0000 0.0000  4 Nb 2.03, 2 Co 2.13
Nb 0.0000 0.5000 0.0000  2 H 2.03
Nb 0.5000 0.0000 0.0000  2 H 2.03
Co 0.0000 0.0000 0.5000  2 H 2.13
Sn 0.5000 0.5000 0.5000  4 Co 2.86, 8 Nb 2.94



Record 5
This record from Alexandria via LeMat-Bulk describes crystalline TaNbCo2H at its relaxed geometry. The functional is PBE-GGA.

Summary:
electronic total energy: -7.96 eV/atom
calculated density: 11.139 Mg/m³
V: 58.5 Å³/cell
ΔE to the lowest computed polymorph: 0 meV per atom
space group: P4/mmm, No. 123

a b c (Å): 3.8428 3.8428 3.9648
angles (deg): 90.00 90.00 90.00
Closest atoms and distances in Å follow each position.
Fractional coordinates of all 5 atoms:
H 0.0000 0.0000 0.0000  4 Co 1.92, 2 Nb 1.98
Nb 0.0000 0.0000 0.5000  2 H 1.98
Co 0.0000 0.5000 0.0000  2 H 1.92
Co 0.5000 0.0000 0.0000  2 H 1.92
Ta 0.5000 0.5000 0.5000  4 Nb 2.72, 8 Co 2.76



Record 6
This record from Alexandria via LeMat-Bulk describes crystalline TaNbCo2H at its relaxed geometry. The functional is PBE-GGA.

Summary:
electronic total energy: -7.95 eV/atom
calculated density: 11.125 Mg/m³
V: 58.6 Å³/cell
ΔE to the lowest computed polymorph: 12 meV per atom
space group: P4/mmm, No. 123

a b c (Å): 3.8447 3.8447 3.9658
angles (deg): 90.00 90.00 90.00
Closest atoms and distances in Å follow each position.
Fractional coordinates of all 5 atoms:
H 0.0000 0.0000 0.0000  4 Co 1.92, 2 Ta 1.98
Nb 0.5000 0.5000 0.5000  4 Ta 2.72, 8 Co 2.76
Co 0.0000 0.5000 0.0000  2 H 1.92
Co 0.5000 0.0000 0.0000  2 H 1.92
Ta 0.0000 0.0000 0.5000  2 H 1.98



Copy entry 5 word for word.
This record from Alexandria via LeMat-Bulk describes crystalline TaNbCo2H at its relaxed geometry. The functional is PBE-GGA.

Summary:
electronic total energy: -7.96 eV/atom
calculated density: 11.139 Mg/m³
V: 58.5 Å³/cell
ΔE to the lowest computed polymorph: 0 meV per atom
space group: P4/mmm, No. 123

a b c (Å): 3.8428 3.8428 3.9648
angles (deg): 90.00 90.00 90.00
Closest atoms and distances in Å follow each position.
Fractional coordinates of all 5 atoms:
H 0.0000 0.0000 0.0000  4 Co 1.92, 2 Nb 1.98
Nb 0.0000 0.0000 0.5000  2 H 1.98
Co 0.0000 0.5000 0.0000  2 H 1.92
Co 0.5000 0.0000 0.0000  2 H 1.92
Ta 0.5000 0.5000 0.5000  4 Nb 2.72, 8 Co 2.76



Question: The lowest electronic total energy belongs to which entry?
Answer: number 1



Question: Which value of calculated density does entry 1 give?
Answer: 9.191 Mg/m³